(1)
The following is a DFT calculation (GGA-PBE) of an optimized crystal structure of Ac6Ir3Ru.

## Properties
Total moment: 0.0 μB/cell
Energy above the most stable polymorph in this dataset: 0.000 eV/atom
Energy of formation: -0.462 eV per atom
Crystal system: monoclinic

Cell and atoms, written as POSCAR:
```
Ac6Ir3Ru
1.0
12.327 0.000 0.000
0.000 4.365 0.000
-4.292 0.000 11.824
Ac Ir Ru
12 6 2
direct
0.041 0.250 0.392
0.102 0.250 0.938
0.242 0.750 0.274
0.295 0.750 0.756
0.397 0.250 0.550
0.427 0.750 0.101
0.573 0.250 0.899
0.603 0.750 0.450
0.705 0.250 0.244
0.758 0.250 0.726
0.898 0.750 0.062
0.959 0.750 0.608
0.067 0.250 0.167
0.197 0.750 0.503
0.340 0.250 0.922
0.660 0.750 0.078
0.803 0.250 0.497
0.933 0.750 0.833
0.455 0.250 0.306
0.545 0.750 0.694
```



(2)
The following is a DFT calculation (GGA-PBE) of an optimized crystal structure of Ca2SmAg4.

## Properties
Total moment: 0.0 μB/cell
Energy of formation: -0.111 eV per atom
Crystal system: tetragonal

Cell and atoms, written as POSCAR:
```
Ca2SmAg4
1.0
-2.721 2.721 6.403
2.721 -2.721 6.403
2.721 2.721 -6.403
Ca Sm Ag
2 1 4
direct
0.221 0.221 0.000
0.779 0.779 0.000
0.500 0.500 0.000
0.117 0.617 0.500
0.383 0.883 0.500
0.617 0.117 0.500
0.883 0.383 0.500
```